(1)
{
  "formula": "LaDy4S6",
  "functional": "PBE",
  "state": "relaxed",
  "cell": [[-2.5870, 2.7630, 0.9779], [-3.5202, -5.5996, -1.3060], [1.4718, -5.3758, 19.0822]],
  "species": ["La", "La", "Dy", "Dy", "Dy", "Dy", "Dy", "Dy", "Dy", "Dy", "S", "S", "S", "S", "S", "S", "S", "S", "S", "S", "S", "S"],
  "fractional_positions": [[0.6558, 0.3116, 0.2500], [0.3442, 0.6884, 0.7500], [0.8611, 0.7223, 0.5398], [0.4068, 0.8136, 0.1258], [0.1389, 0.2777, 0.4602], [0.5932, 0.1864, 0.8742], [0.8611, 0.7223, 0.9602], [0.1389, 0.2777, 0.0398], [0.5932, 0.1864, 0.6258], [0.4068, 0.8136, 0.3742], [0.5000, 0.0000, 0.0000], [0.5000, 0.0000, 0.5000], [0.0451, 0.0902, 0.3357], [0.9549, 0.9098, 0.6643], [0.9549, 0.9098, 0.8357], [0.0451, 0.0902, 0.1643], [0.7674, 0.5349, 0.4109], [0.2326, 0.4651, 0.5891], [0.2326, 0.4651, 0.9109], [0.7674, 0.5349, 0.0891], [0.3178, 0.6356, 0.2500], [0.6822, 0.3644, 0.7500]],
  "formation_energy_uncorrected_ev_per_atom": -2.0855
}

***

(2)
{
  "formula": "LaDy3S4",
  "functional": "PBE",
  "state": "relaxed",
  "cell": [[5.6228, 0.0000, 0.0000], [0.0000, 5.6228, 0.0000], [0.0000, 0.0000, 5.6228]],
  "species": ["La", "Dy", "Dy", "Dy", "S", "S", "S", "S"],
  "fractional_positions": [[0.0000, 0.0000, 0.0000], [0.0000, 0.5000, 0.5000], [0.5000, 0.0000, 0.5000], [0.5000, 0.5000, 0.0000], [0.5000, 0.0000, 0.0000], [0.0000, 0.5000, 0.0000], [0.0000, 0.0000, 0.5000], [0.5000, 0.5000, 0.5000]],
  "de_polymorph_mev_per_atom": 35,
  "formation_energy_uncorrected_ev_per_atom": -1.9904
}

***

(3)
{
  "formula": "La3DyS6",
  "functional": "PBE",
  "state": "relaxed",
  "cell": [[4.1489, 0.0000, 0.0000], [0.0000, 11.3404, 0.1718], [0.0000, -3.6245, 11.2057]],
  "species": ["La", "La", "La", "La", "La", "La", "Dy", "Dy", "S", "S", "S", "S", "S", "S", "S", "S", "S", "S", "S", "S"],
  "fractional_positions": [[0.7500, 0.4199, 0.8297], [0.2500, 0.5801, 0.1703], [0.7500, 0.6848, 0.5091], [0.2500, 0.3152, 0.4909], [0.7500, 0.1615, 0.0827], [0.2500, 0.8385, 0.9173], [0.7500, 0.0410, 0.6790], [0.2500, 0.9590, 0.3210], [0.7500, 0.4735, 0.6114], [0.2500, 0.5265, 0.3886], [0.7500, 0.9136, 0.0984], [0.2500, 0.0864, 0.9016], [0.7500, 0.4096, 0.0722], [0.2500, 0.5904, 0.9278], [0.7500, 0.7590, 0.2863], [0.2500, 0.2410, 0.7137], [0.7500, 0.1023, 0.4584], [0.2500, 0.8977, 0.5416], [0.7500, 0.8235, 0.7505], [0.2500, 0.1765, 0.2495]],
  "de_polymorph_mev_per_atom": 66,
  "formation_energy_uncorrected_ev_per_atom": -2.0950
}

***

| no. | ρ (kg/m³) |
| --- | --- |
| 1 | 6499 |
| 2 | 7049 |
| 3 | 4837 |